No. 1
The following is a PBE calculation of an optimized crystal structure of Tb3Nd6Er2Tm, from Alexandria via LeMat-Bulk.

Calculated values
Electronic total energy = -111.893 eV/cell
M_tot = 0.000 μB per cell
DOS(E_F) = 1.107 states/eV/atom
Crystal system = monoclinic
Formation enthalpy at 0 K = 12 meV/atom

a = 6.2641 Å, b = 10.8488 Å, c = 11.8328 Å
α = 90.00°, β = 100.13°, γ = 90.00°
Space group C2/m (No. 12)
Asymmetric unit:
Tb  0.0000  0.0000  0.0000 x2
Tb  0.0000  0.3334  0.0000 x4
Nd  0.2499  0.0000  0.7483 x4
Nd  0.2503  0.1666  0.2517 x8
Er  0.0000  0.1668  0.5000 x4
Tm  0.0000  0.5000  0.5000 x2

***

No. 2
The following is a PBE calculation of an optimized crystal structure of TbNd2ErTm4, from Alexandria via LeMat-Bulk.

Calculated values
Electronic total energy = -132.622 eV/cell
M_tot = 8.305 μB per cell
DOS(E_F) = 2.285 states/eV/atom
Crystal system = orthorhombic
Formation enthalpy at 0 K = 432 meV/atom

a = 6.7682 Å, b = 11.7526 Å, c = 13.2173 Å
α = 90.00°, β = 90.00°, γ = 90.00°
Space group Imma (No. 74)
Asymmetric unit:
Tb  0.0000  0.0000  0.0000 x4
Nd  0.0000  0.0000  0.5000 x4
Nd  0.2500  0.2500  0.2500 x4
Er  0.2500  0.2500  0.7500 x4
Tm  0.0000  0.0041  0.7508 x8
Tm  0.2495  0.2500  0.9960 x8

***

No. 3
The following is a PBE calculation of an optimized crystal structure of Tb6NdErTm2, from Alexandria via LeMat-Bulk.

Calculated values
Electronic total energy = -179.430 eV/cell
M_tot = 0.000 μB per cell
DOS(E_F) = 1.457 states/eV/atom
Crystal system = monoclinic
Formation enthalpy at 0 K = 120 meV/atom

a = 9.1226 Å, b = 14.9845 Å, c = 9.4801 Å
α = 90.00°, β = 96.48°, γ = 90.00°
Space group C2/c (No. 15)
Asymmetric unit:
Tb  0.0625  0.1832  0.4440 x8
Tb  0.0980  0.3902  0.6177 x8
Tb  0.2122  0.2259  0.8171 x8
Nd  0.0000  0.0278  0.7500 x4
Er  0.0000  0.4103  0.2500 x4
Tm  0.2469  0.4482  0.9522 x8

***

No. 4
The following is a PBE calculation of an optimized crystal structure of TbNd2ErTm, from Alexandria via LeMat-Bulk.

Calculated values
Electronic total energy = -43.701 eV/cell
M_tot = 0.008 μB per cell
DOS(E_F) = 1.231 states/eV/atom
Crystal system = orthorhombic
Formation enthalpy at 0 K = 270 meV/atom

a = 6.1718 Å, b = 8.0678 Å, c = 6.7561 Å
α = 90.00°, β = 90.00°, γ = 90.00°
Space group Pmma (No. 51)
Asymmetric unit:
Tb  0.0000  0.0000  0.0000 x2
Nd  0.2500  0.3021  0.3061 x4
Er  0.2500  0.5000  0.8407 x2
Tm  0.2500  0.0000  0.5870 x2